Entry one
## CaLaRhSe (PBE)

Data for CaLaRhSe after structural relaxation.

a = 3.5923 Å, b = 3.5923 Å, c = 7.3665 Å
α = 90.00°, β = 90.00°, γ = 90.00°
Closest atoms and distances in Å follow each position.
Space group P4mm (No. 99)
Unique sites:
1 Ca 0.0000 0.0000 0.0000 (multiplicity 1)  4 Se 3.07, 4 Rh 3.19
2 La 0.0000 0.0000 0.5143 (multiplicity 1)  4 Rh 3.03, 4 Se 3.28
3 Rh 0.5000 0.5000 0.7389 (multiplicity 1)  4 La 3.03, 4 Ca 3.19
4 Se 0.5000 0.5000 0.2336 (multiplicity 1)  4 Ca 3.07, 4 La 3.28


Entry two
## CaLaRhSe (PBE)

Data for CaLaRhSe after structural relaxation.

a = 4.8910 Å, b = 3.8184 Å, c = 10.6755 Å
α = 90.00°, β = 90.00°, γ = 90.00°
Closest atoms and distances in Å follow each position.
Space group Amm2 (No. 38)
Unique sites:
1 Ca 0.0000 0.0000 0.0000 (multiplicity 2)  3 Se 2.94-3.06, 4 Rh 3.10
2 La 0.5000 0.0000 0.2716 (multiplicity 2)  1 Rh 2.50
3 Rh 0.5000 0.0000 0.5055 (multiplicity 2)  1 La 2.50
4 Se 0.0000 0.0000 0.7242 (multiplicity 2)  3 Ca 2.94-3.06, 4 La 3.14


Which structure is the most stable? The one labeled entry two.


Entry one
## CaLaRhSe (PBE)

Data for CaLaRhSe after structural relaxation.

a = 4.1376 Å, b = 4.1376 Å, c = 6.1450 Å
α = 90.00°, β = 90.00°, γ = 90.00°
Closest atoms and distances in Å follow each position.
Space group P4/mmm (No. 123)
Unique sites:
1 Ca 0.0000 0.0000 0.0000 (multiplicity 1)  4 Se 2.93, 2 Rh 3.07
2 La 0.5000 0.5000 0.5000 (multiplicity 1)  4 Rh 2.93, 2 Se 3.07
3 Rh 0.0000 0.0000 0.5000 (multiplicity 1)  4 La 2.93, 2 Ca 3.07
4 Se 0.5000 0.5000 0.0000 (multiplicity 1)  4 Ca 2.93, 2 La 3.07


Entry two
## CaLaRhSe (PBE)

Data for CaLaRhSe after structural relaxation.

a = 4.3238 Å, b = 3.9402 Å, c = 11.5293 Å
α = 90.00°, β = 90.00°, γ = 90.00°
Closest atoms and distances in Å follow each position.
Space group Amm2 (No. 38)
Unique sites:
1 Ca 0.0000 0.0000 0.0000 (multiplicity 2)  4 Se 2.97, 1 Rh 3.02
2 La 0.5000 0.0000 0.7272 (multiplicity 2)  4 Rh 2.95, 3 Se 3.16-3.26
3 Rh 0.0000 0.0000 0.2617 (multiplicity 2)  4 La 2.95, 1 Ca 3.02, 2 Se 3.09
4 Se 0.5000 0.0000 0.4529 (multiplicity 2)  4 Ca 2.97, 2 Rh 3.09, 3 La 3.16-3.26


Which structure is the most stable? The one labeled entry one.


Entry one
## CaLaRhSe (PBE)

Data for CaLaRhSe after structural relaxation.

a = 4.1016 Å, b = 4.1016 Å, c = 7.3052 Å
α = 90.00°, β = 90.00°, γ = 120.00°
Closest atoms and distances in Å follow each position.
Space group P3m1 (No. 156)
Unique sites:
1 Ca 0.0000 0.0000 0.0000 (multiplicity 1)  3 Se 2.94, 3 Rh 3.03
2 La 0.3333 0.6667 0.4724 (multiplicity 1)  3 Rh 2.84, 3 Se 3.17
3 Rh 0.6667 0.3333 0.2587 (multiplicity 1)  3 La 2.84, 3 Ca 3.03
4 Se 0.6667 0.3333 0.7613 (multiplicity 1)  3 Ca 2.94, 3 La 3.17


Entry two
## CaLaRhSe (PBE)

Data for CaLaRhSe after structural relaxation.

a = 4.0945 Å, b = 4.0945 Å, c = 22.2248 Å
α = 90.00°, β = 90.00°, γ = 120.00°
Closest atoms and distances in Å follow each position.
Space group R3m (No. 160, hexagonal axes)
Unique sites:
1 Ca 0.0000 0.0000 0.0000 (multiplicity 3)  3 Se 2.95, 3 Rh 3.10
2 La 0.0000 0.0000 0.1614 (multiplicity 3)  3 Rh 2.84, 3 Se 3.13
3 Rh 0.0000 0.0000 0.7571 (multiplicity 3)  3 La 2.84, 3 Ca 3.10
4 Se 0.0000 0.0000 0.5871 (multiplicity 3)  3 Ca 2.95, 3 La 3.13


Entry three
## CaLaRhSe (PBE)

Data for CaLaRhSe after structural relaxation.

a = 4.1666 Å, b = 4.1666 Å, c = 21.3322 Å
α = 90.00°, β = 90.00°, γ = 120.00°
Closest atoms and distances in Å follow each position.
Space group R3m (No. 160, hexagonal axes)
Unique sites:
1 Ca 0.0000 0.0000 0.0000 (multiplicity 3)  3 Se 2.97, 3 Rh 3.07
2 La 0.0000 0.0000 0.4905 (multiplicity 3)  3 Rh 2.81, 3 Se 3.14
3 Rh 0.0000 0.0000 0.7558 (multiplicity 3)  3 La 2.81, 3 Ca 3.07
4 Se 0.0000 0.0000 0.2518 (multiplicity 3)  3 Ca 2.97, 3 La 3.14


Entry four
## CaLaRhSe (PBE)

Data for CaLaRhSe after structural relaxation.

a = 3.7386 Å, b = 3.6465 Å, c = 7.6013 Å
α = 90.00°, β = 104.14°, γ = 90.00°
Closest atoms and distances in Å follow each position.
Space group Pm (No. 6)
Unique sites:
1 Ca 0.0000 0.0000 0.0000 (multiplicity 1)  4 Se 2.94
2 La 0.2346 0.0000 0.4763 (multiplicity 1)  4 Rh 3.00-3.01, 2 Se 3.10
3 Rh 0.6346 0.5000 0.2745 (multiplicity 1)  4 La 3.00-3.01, 4 Ca 3.30-3.31
4 Se 0.4089 0.5000 0.8160 (multiplicity 1)  4 Ca 2.94, 2 La 3.10


Which structure is the most stable? The one labeled entry three.


Entry one
## Ca2LaYRh (PBE)

Data for Ca2LaYRh after structural relaxation.

a = 5.6420 Å, b = 5.6420 Å, c = 5.4139 Å
α = 90.00°, β = 90.00°, γ = 90.00°
Closest atoms and distances in Å follow each position.
Space group P4/mmm (No. 123)
Unique sites:
1 Ca 0.0000 0.5000 0.0000 (multiplicity 2)  2 Rh 2.82
2 La 0.0000 0.0000 0.5000 (multiplicity 1)  2 Rh 2.71
3 Y 0.5000 0.5000 0.5000 (multiplicity 1)  8 Ca 3.91, 4 La 3.99
4 Rh 0.0000 0.0000 0.0000 (multiplicity 1)  2 La 2.71, 4 Ca 2.82


Entry two
## Ca2LaYRh (PBE)

Data for Ca2LaYRh after structural relaxation.

a = 5.6150 Å, b = 5.6150 Å, c = 5.3448 Å
α = 90.00°, β = 90.00°, γ = 90.00°
Closest atoms and distances in Å follow each position.
Space group P4/mmm (No. 123)
Unique sites:
1 Ca 0.0000 0.5000 0.0000 (multiplicity 2)  2 Rh 2.81
2 La 0.0000 0.0000 0.5000 (multiplicity 1)  8 Ca 3.88, 4 Y 3.97
3 Y 0.5000 0.5000 0.5000 (multiplicity 1)  2 Rh 2.67
4 Rh 0.5000 0.5000 0.0000 (multiplicity 1)  2 Y 2.67, 4 Ca 2.81


Which structure is the most stable? The one labeled entry two.


Entry one
## CaLaY2Rh (PBE)

Data for CaLaY2Rh after structural relaxation.

a = 5.5546 Å, b = 5.5546 Å, c = 5.5663 Å
α = 90.00°, β = 90.00°, γ = 90.00°
Closest atoms and distances in Å follow each position.
Space group P4/mmm (No. 123)
Unique sites:
1 Ca 0.0000 0.0000 0.0000 (multiplicity 1)  4 La 3.93, 8 Y 3.93
2 La 0.5000 0.5000 0.0000 (multiplicity 1)  2 Rh 2.78
3 Y 0.0000 0.5000 0.5000 (multiplicity 2)  2 Rh 2.78
4 Rh 0.5000 0.5000 0.5000 (multiplicity 1)  4 Y 2.78, 2 La 2.78


Entry two
## CaLaY2Rh (PBE)

Data for CaLaY2Rh after structural relaxation.

a = 5.4080 Å, b = 5.4080 Å, c = 5.6698 Å
α = 90.00°, β = 90.00°, γ = 90.00°
Closest atoms and distances in Å follow each position.
Space group P4/mmm (No. 123)
Unique sites:
1 Ca 0.0000 0.0000 0.0000 (multiplicity 1)  2 Rh 2.83
2 La 0.5000 0.5000 0.0000 (multiplicity 1)  4 Ca 3.82, 8 Y 3.92
3 Y 0.0000 0.5000 0.5000 (multiplicity 2)  2 Rh 2.70
4 Rh 0.0000 0.0000 0.5000 (multiplicity 1)  4 Y 2.70, 2 Ca 2.83


Entry three
## CaLaY2Rh (PBE)

Data for CaLaY2Rh after structural relaxation.

a = 5.6939 Å, b = 5.6939 Å, c = 4.8432 Å
α = 90.00°, β = 90.00°, γ = 90.00°
Closest atoms and distances in Å follow each position.
Space group P4/mmm (No. 123)
Unique sites:
1 Ca 0.0000 0.0000 0.0000 (multiplicity 1)  2 Rh 2.42
2 La 0.5000 0.5000 0.5000 (multiplicity 1)  8 Y 3.74, 4 Rh 4.03
3 Y 0.0000 0.5000 0.0000 (multiplicity 2)  2 Ca 2.85
4 Rh 0.0000 0.0000 0.5000 (multiplicity 1)  2 Ca 2.42


Which structure is the most stable? The one labeled entry one.


Entry one
## CaLa2Ru2 (PBE)

Data for CaLa2Ru2 after structural relaxation.

a = 8.2746 Å, b = 8.2746 Å, c = 3.6294 Å
α = 90.00°, β = 90.00°, γ = 90.00°
Closest atoms and distances in Å follow each position.
Space group P4/mbm (No. 127)
Unique sites:
1 Ca 0.0000 0.0000 0.0000 (multiplicity 2)  4 Ru 3.17
2 La 0.1489 0.3511 0.5000 (multiplicity 4)  6 Ru 3.02-3.04
3 Ru 0.1451 0.6451 0.0000 (multiplicity 4)  6 La 3.02-3.04, 2 Ca 3.17


Entry two
## CaLa2Ru2 (PBE)

Data for CaLa2Ru2 after structural relaxation.

a = 8.5292 Å, b = 8.5292 Å, c = 3.3227 Å
α = 90.00°, β = 90.00°, γ = 90.00°
Closest atoms and distances in Å follow each position.
Space group P4/mbm (No. 127)
Unique sites:
1 Ca 0.0000 0.0000 0.0000 (multiplicity 2)  4 La 3.31, 2 Ca 3.32, 8 Ru 3.56
2 La 0.1363 0.3637 0.0000 (multiplicity 4)  6 Ru 2.82-3.15
3 Ru 0.1752 0.6752 0.5000 (multiplicity 4)  6 La 2.82-3.15


Which structure is the most stable? The one labeled entry one.


Entry one
## SrCaLa2Ru (PBE)

Data for SrCaLa2Ru after structural relaxation.

a = 5.4944 Å, b = 5.4944 Å, c = 6.2184 Å
α = 90.00°, β = 90.00°, γ = 90.00°
Closest atoms and distances in Å follow each position.
Space group P4/mmm (No. 123)
Unique sites:
1 Sr 0.0000 0.0000 0.0000 (multiplicity 1)  2 Ru 3.11
2 Ca 0.5000 0.5000 0.0000 (multiplicity 1)  4 Sr 3.89, 8 La 4.15
3 La 0.0000 0.5000 0.5000 (multiplicity 2)  2 Ru 2.75
4 Ru 0.0000 0.0000 0.5000 (multiplicity 1)  4 La 2.75


Entry two
## SrCaLa2Ru (PBE)

Data for SrCaLa2Ru after structural relaxation.

a = 5.5171 Å, b = 5.5171 Å, c = 6.0327 Å
α = 90.00°, β = 90.00°, γ = 90.00°
Closest atoms and distances in Å follow each position.
Space group P4/mmm (No. 123)
Unique sites:
1 Sr 0.0000 0.0000 0.0000 (multiplicity 1)  4 Ca 3.90, 8 La 4.09
2 Ca 0.5000 0.5000 0.0000 (multiplicity 1)  2 Ru 3.02
3 La 0.0000 0.5000 0.5000 (multiplicity 2)  2 Ru 2.76
4 Ru 0.5000 0.5000 0.5000 (multiplicity 1)  4 La 2.76, 2 Ca 3.02


Which structure is the most stable? The one labeled entry two.


Entry one
## CaLaS2 (PBE)

Data for CaLaS2 after structural relaxation.

a = 4.3383 Å, b = 4.3383 Å, c = 24.7664 Å
α = 90.00°, β = 90.00°, γ = 120.00°
Closest atoms and distances in Å follow each position.
Space group R-3m (No. 166, hexagonal axes)
Unique sites:
1 Ca 0.0000 0.0000 0.0000 (multiplicity 3)  2 S 2.68
2 La 0.0000 0.0000 0.5000 (multiplicity 3)  6 S 2.89
3 S 0.0000 0.0000 0.1082 (multiplicity 6)  1 Ca 2.68, 3 La 2.89


Entry two
## CaLaS2 (PBE)

Data for CaLaS2 after structural relaxation.

a = 4.0037 Å, b = 4.0037 Å, c = 21.4411 Å
α = 90.00°, β = 90.00°, γ = 120.00°
Closest atoms and distances in Å follow each position.
Space group R3m (No. 160, hexagonal axes)
Unique sites:
1 Ca 0.0000 0.0000 0.0000 (multiplicity 3)  6 S 2.83-2.97
2 La 0.0000 0.0000 0.8264 (multiplicity 3)  6 S 2.92-2.97
3 S 0.0000 0.0000 0.2465 (multiplicity 3)  3 La 2.97, 3 Ca 2.97
4 S 0.0000 0.0000 0.4097 (multiplicity 3)  3 Ca 2.83, 3 La 2.92


Which structure is the most stable? The one labeled entry two.


Entry one
## CaLaS2 (PBE)

Data for CaLaS2 after structural relaxation.

a = 6.4134 Å, b = 6.4134 Å, c = 12.8672 Å
α = 90.00°, β = 90.00°, γ = 90.00°
Closest atoms and distances in Å follow each position.
Space group I-42d (No. 122)
Unique sites:
1 Ca 0.0000 0.0000 0.0000 (multiplicity 4)  4 S 2.75
2 La 0.0000 0.0000 0.5000 (multiplicity 4)  4 S 2.81
3 S 0.2416 0.2500 0.1250 (multiplicity 8)  2 Ca 2.75, 2 La 2.81


Entry two
## CaLaS2 (PBE)

Data for CaLaS2 after structural relaxation.

a = 4.0448 Å, b = 4.0448 Å, c = 13.8765 Å
α = 90.00°, β = 90.00°, γ = 120.00°
Closest atoms and distances in Å follow each position.
Space group P6_3/mmc (No. 194)
Unique sites:
1 Ca 0.3333 0.6667 0.2500 (multiplicity 2)  6 S 2.89
2 La 0.0000 0.0000 0.0000 (multiplicity 2)  6 S 2.92
3 S 0.3333 0.6667 0.6269 (multiplicity 4)  3 Ca 2.89, 3 La 2.92


Entry three
## CaLaS2 (PBE)

Data for CaLaS2 after structural relaxation.

a = 3.9864 Å, b = 3.9864 Å, c = 7.2191 Å
α = 90.00°, β = 90.00°, γ = 120.00°
Closest atoms and distances in Å follow each position.
Space group P-3m1 (No. 164)
Unique sites:
1 Ca 0.0000 0.0000 0.0000 (multiplicity 1)  6 S 2.88
2 La 0.0000 0.0000 0.5000 (multiplicity 1)  6 S 2.98
3 S 0.3333 0.6667 0.2387 (multiplicity 2)  3 Ca 2.88, 3 La 2.98


Entry four
## CaLaS2 (PBE)

Data for CaLaS2 after structural relaxation.

a = 7.0573 Å, b = 7.0573 Å, c = 7.0573 Å
α = 90.00°, β = 90.00°, γ = 90.00°
Closest atoms and distances in Å follow each position.
Space group Fm-3m (No. 225)
Unique sites:
1 Ca 0.0000 0.0000 0.0000 (multiplicity 4)  8 S 3.06
2 La 0.0000 0.0000 0.5000 (multiplicity 4)  8 S 3.06
3 S 0.2500 0.2500 0.2500 (multiplicity 8)  4 La 3.06, 4 Ca 3.06


Which structure is the most stable? The one labeled entry two.


Entry one
## Ca2LaSb2 (PBE)

Data for Ca2LaSb2 after structural relaxation.

a = 8.6840 Å, b = 8.6840 Å, c = 4.2895 Å
α = 90.00°, β = 90.00°, γ = 90.00°
Closest atoms and distances in Å follow each position.
Space group P4/mbm (No. 127)
Unique sites:
1 Ca 0.1423 0.3577 0.0000 (multiplicity 4)  6 Sb 3.23-3.40, 1 Ca 3.50
2 La 0.0000 0.0000 0.5000 (multiplicity 2)  4 Sb 3.26
3 Sb 0.1609 0.6609 0.5000 (multiplicity 4)  6 Ca 3.23-3.40, 2 La 3.26


Entry two
## Ca2LaSb2 (PBE)

Data for Ca2LaSb2 after structural relaxation.

a = 4.6962 Å, b = 4.6962 Å, c = 14.3863 Å
α = 90.00°, β = 90.00°, γ = 90.00°
Closest atoms and distances in Å follow each position.
Space group I4/mmm (No. 139)
Unique sites:
1 Ca 0.0000 0.5000 0.2500 (multiplicity 4)  4 Sb 3.13, 4 Ca 3.32
2 La 0.0000 0.0000 0.0000 (multiplicity 2)  8 Sb 3.66
3 Sb 0.0000 0.0000 0.3935 (multiplicity 4)  1 Sb 3.06, 4 Ca 3.13


Which structure is the most stable? The one labeled entry one.


Entry one
## CaLaSb3 (PBE)

Data for CaLaSb3 after structural relaxation.

a = 5.5997 Å, b = 5.5997 Å, c = 5.5997 Å
α = 90.00°, β = 90.00°, γ = 90.00°
Closest atoms and distances in Å follow each position.
Space group Pm-3m (No. 221)
Unique sites:
1 Ca 0.0000 0.0000 0.0000 (multiplicity 1)  6 Sb 2.80
2 La 0.5000 0.5000 0.5000 (multiplicity 1)  12 Sb 3.96
3 Sb 0.0000 0.0000 0.5000 (multiplicity 3)  2 Ca 2.80


Entry two
## CaLaSb3 (PBE)

Data for CaLaSb3 after structural relaxation.

a = 5.9643 Å, b = 5.9643 Å, c = 5.9643 Å
α = 90.00°, β = 90.00°, γ = 90.00°
Closest atoms and distances in Å follow each position.
Space group Pm-3m (No. 221)
Unique sites:
1 Ca 0.0000 0.0000 0.0000 (multiplicity 1)  12 Sb 4.22
2 La 0.5000 0.5000 0.5000 (multiplicity 1)  6 Sb 2.98
3 Sb 0.0000 0.5000 0.5000 (multiplicity 3)  2 La 2.98


Which structure is the most stable? The one labeled entry one.